(1)
MgTa2Pb: optimized geometry, PBE-GGA.

Lattice parameters (Å, degrees): 5.2402 5.2402 5.4420 82.15 82.15 33.72
Closest atoms and distances in Å follow each position.
Element x y z (fractional)
Mg  0.4975  0.4975  0.4949  3 Pb 2.89-3.11, 5 Ta 3.00-3.18, 2 Mg 3.04
Pb  0.2561  0.2561  0.2626  3 Mg 2.89-3.11, 2 Pb 3.04, 7 Ta 3.08-3.17
Ta  0.0053  0.0053  0.9683  5 Ta 2.88-3.04, 2 Mg 3.00, 3 Pb 3.16-3.17
Ta  0.7410  0.7410  0.7743  5 Ta 2.88-3.04, 3 Mg 3.06-3.18, 4 Pb 3.08-3.16

formation energy from the elements: 0.447 eV/atom
V: 20.53 Å³ per atom

---

(2)
Mg2TaPb: optimized geometry, PBE-GGA.

Lattice parameters (Å, degrees): 5.7557 5.7557 5.7557 137.76 137.76 61.26
Closest atoms and distances in Å follow each position.
Element x y z (fractional)
Pb  0.2500  0.7500  0.5000  4 Ta 2.93, 8 Mg 3.23
Mg  0.0000  0.0000  0.0000  4 Mg 2.93, 4 Ta 3.23, 4 Pb 3.23
Mg  0.5000  0.5000  0.0000  4 Mg 2.93, 4 Ta 3.23, 4 Pb 3.23
Ta  0.7500  0.2500  0.5000  4 Pb 2.93, 8 Mg 3.23

formation energy from the elements: 0.356 eV/atom
V: 21.30 Å³ per atom

---

(3)
MgTa2Pb: optimized geometry, PBE-GGA.

Lattice parameters (Å, degrees): 3.5875 3.5875 6.4078 90.00 90.00 90.00
Closest atoms and distances in Å follow each position.
Element x y z (fractional)
Ta  0.0000  0.0000  0.0388  4 Ta 2.81, 1 Mg 2.88
Ta  0.5000  0.5000  0.2256  4 Ta 2.81, 4 Mg 3.04, 1 Pb 3.06
Pb  0.5000  0.5000  0.7480  4 Mg 3.04, 6 Ta 3.06-3.35
Mg  0.0000  0.0000  0.4876  5 Ta 2.88-3.04, 4 Pb 3.04

formation energy from the elements: 0.236 eV/atom
V: 20.62 Å³ per atom